(1)
# Al2RuSe, relaxed, DFT PBEsol
data_Al2RuSe
_chemical_formula_sum 'Al2 Ru1 Se1'
_cell_length_a 4.3757
_cell_length_b 4.3757
_cell_length_c 3.1537
_cell_angle_alpha 90.00
_cell_angle_beta 90.00
_cell_angle_gamma 90.00
_space_group_name_H-M_alt 'P 1'
_space_group_IT_number 1
loop_
_space_group_symop_operation_xyz
'x,y,z'
loop_
_atom_site_label
_atom_site_fract_x
_atom_site_fract_y
_atom_site_fract_z
Al1 0.0000 0.5000 0.0000
Al2 0.5000 0.0000 0.0000
Ru1 0.0000 0.0000 0.5000
Se1 0.5000 0.5000 0.5000
# D(E_F) (states/eV per cell): 1.744
# Symmetry: No. 123
# Final energy (eV per atom): -5.680

(2)
# Al2RuSe, relaxed, DFT PBEsol
data_Al2RuSe
_chemical_formula_sum 'Al2 Ru1 Se1'
_cell_length_a 4.7100
_cell_length_b 4.7100
_cell_length_c 4.7100
_cell_angle_alpha 129.27
_cell_angle_beta 129.27
_cell_angle_gamma 74.58
_space_group_name_H-M_alt 'P 1'
_space_group_IT_number 1
loop_
_space_group_symop_operation_xyz
'x,y,z'
loop_
_atom_site_label
_atom_site_fract_x
_atom_site_fract_y
_atom_site_fract_z
Al1 0.0000 0.0000 0.0000
Al2 0.7500 0.2500 0.5000
Ru1 0.5000 0.5000 0.0000
Se1 0.2500 0.7500 0.5000
# D(E_F) (states/eV per cell): 1.890
# Symmetry: No. 119
# Final energy (eV per atom): -5.552